Entry from Alexandria via LeMat-Bulk: a relaxed SrMnSF2 crystal (GGA+U).

Geometry as CIF:
```
data_SrMnSF2
_chemical_formula_sum 'Sr1 Mn1 S1 F2'
_cell_length_a 4.352
_cell_length_b 9.308
_cell_length_c 4.352
_cell_angle_alpha 90.00
_cell_angle_beta 90.00
_cell_angle_gamma 90.00
_symmetry_space_group_name_H-M 'P 1'
_symmetry_Int_Tables_number 1
_symmetry_space_group_name_Hall 'P 1'
loop_
_atom_site_label
_atom_site_type_symbol
_atom_site_fract_x
_atom_site_fract_y
_atom_site_fract_z
S1 S 0.500 0.500 0.500
F1 F 0.000 0.000 0.500
Mn1 Mn 0.000 0.500 0.000
F2 F 0.500 0.000 0.000
Sr1 Sr 0.000 0.000 0.000
```

Values from the calculation:
The value obtained for the total magnetization is 1.0000 μB/atom. The calculated total energy is -5.14 eV/atom. Its space group is No. 123.